ScCdH2 | Alexandria via LeMat-Bulk | PBE-GGA | relaxed; ρ = 5.511 g cm⁻³; space-group type = No. 225; E = -3.382 eV/atom; M_tot = 0.00 μB/cell
1.0
0.000 2.885 2.885
2.885 0.000 2.885
2.885 2.885 0.000
Sc H Cd
1 2 1
Direct
0.000 0.000 0.000
0.250 0.250 0.250
0.750 0.750 0.750
0.500 0.500 0.500